This record from Alexandria describes a relaxed structure of V2GaPCl. The functional is PBE-GGA.

Cell: 4.5841 4.5841 5.3462 Å, 90.00 90.00 90.00°
Fractional coordinates of all 5 atoms:
V (0.0000, 0.5000, 0.0000)
V (0.5000, 0.0000, 0.0000)
Ga (0.0000, 0.0000, 0.5000)
P (0.5000, 0.5000, 0.0000)
Cl (0.5000, 0.5000, 0.5000)

- total DFT energy (no corrections) (eV per atom) = -5.141
- E_form (uncorrected) (eV/atom) = 0.563
- DOS(E_F) (states/eV/cell) = 4.86



This record from Alexandria describes a relaxed structure of RbTa2Ge. The functional is PBE-GGA.

Cell: 4.9343 4.9343 19.1203 Å, 90.00 90.00 90.00°
Fractional coordinates of all 16 atoms:
Rb (0.0000, 0.0000, 0.0000)
Rb (0.0000, 0.5000, 0.2500)
Rb (0.5000, 0.0000, 0.7500)
Rb (0.5000, 0.5000, 0.5000)
Ta (0.0698, 0.2500, 0.6250)
Ta (0.2500, 0.5698, 0.8750)
Ta (0.2500, 0.9302, 0.3750)
Ta (0.4302, 0.2500, 0.1250)
Ta (0.5698, 0.7500, 0.1250)
Ta (0.7500, 0.0698, 0.3750)
Ta (0.7500, 0.4302, 0.8750)
Ta (0.9302, 0.7500, 0.6250)
Ge (0.0000, 0.0000, 0.5000)
Ge (0.0000, 0.5000, 0.7500)
Ge (0.5000, 0.0000, 0.2500)
Ge (0.5000, 0.5000, 0.0000)

- total DFT energy (no corrections) (eV per atom) = -6.050
- formation energy (kJ per mole of atoms) = 122.8
- DOS(E_F) (states/eV/cell) = 14.05